(1)
Tm2Zr2Ir3 | PBE-GGA | relaxed

POSCAR file:
```
Tm2Zr2Ir3
1.0
2.324 1.342 7.818
-2.324 1.342 7.818
0.000 -2.684 7.818
Tm Zr Ir
2 2 3
Cartesian
0.000 0.000 2.964 Tm
0.000 0.000 20.489 Tm
0.000 0.000 8.837 Zr
0.000 0.000 14.616 Zr
0.000 0.000 0.000 Ir
0.000 0.000 6.010 Ir
0.000 0.000 17.443 Ir
```

Its calculated volume is 146 Å³ per cell. The value obtained for the total DFT energy (no corrections) is -8.364 eV per atom. Its formation enthalpy at 0 K is -846 meV per atom. For the density of states at the Fermi level, the calculation gives 3.0 states/eV per cell.

(2)
TmZr2Ir | PBE-GGA | relaxed

POSCAR file:
```
TmZr2Ir
1.0
2.126 -5.606 0.000
2.126 5.606 0.000
0.000 0.000 7.659
Tm Zr Ir
2 4 2
Cartesian
2.126 4.989 5.744 Tm
2.126 -4.989 1.915 Tm
2.126 1.620 4.203 Zr
2.126 1.620 7.286 Zr
2.126 -1.620 0.373 Zr
2.126 -1.620 3.456 Zr
2.126 3.110 1.915 Ir
2.126 -3.110 5.744 Ir
```

Its relative energy among the computed polymorphs is 0.0 meV per atom. Its calculated volume is 183 Å³ per cell. The value obtained for the total DFT energy (no corrections) is -8.103 eV per atom. Its formation enthalpy at 0 K is -496 meV per atom. For the density of states at the Fermi level, the calculation gives 7.9 states/eV per cell.

(3)
TmZrIr2 | PBE-GGA | relaxed

POSCAR file:
```
TmZrIr2
1.0
0.000 3.346 3.346
3.346 0.000 3.346
3.346 3.346 0.000
Tm Zr Ir
1 1 2
Cartesian
0.000 0.000 0.000 Tm
3.346 3.346 3.346 Zr
1.673 1.673 1.673 Ir
5.018 5.018 5.018 Ir
```

Its relative energy among the computed polymorphs is 24.5 meV per atom. Its calculated volume is 75 Å³ per cell. The value obtained for the total DFT energy (no corrections) is -8.526 eV per atom. Its formation enthalpy at 0 K is -841 meV per atom. For the density of states at the Fermi level, the calculation gives 2.6 states/eV per cell.